[1]
Here is a relaxed Hg2SCl crystal from Alexandria via LeMat-Bulk. Energies are from PBE.

The structure belongs to space group P1 (No. 1); the cell edges are 7.095, 7.501 and 8.083 Å and the angles 94.36°, 94.54° and 114.17°. The inequivalent atoms are Hg at (0.000, 0.000, 0.000), Hg at (0.009, 0.509, 0.993), Hg at (0.277, 0.923, 0.310), Hg at (0.514, 0.251, 0.691), Hg at (0.876, 0.233, 0.381), Hg at (0.925, 0.693, 0.463), S at (0.133, 0.321, 0.166), S at (0.573, 0.321, 0.415), S at (0.878, 0.692, 0.826), Cl at (0.080, 0.249, 0.676), Cl at (0.509, 0.136, 0.956) and Cl at (0.646, 0.845, 0.295).

As for the crystal system: triclinic. The formation energy from raw total energies comes out at -23.9 kJ per mole of atoms. The theoretical density comes out at 6.0 Mg/m³. The calculation puts the polymorph energy (0 for the lowest one) at 41 meV per atom.

[2]
Here is a relaxed Pm4SnPd3 crystal from Alexandria via LeMat-Bulk. Energies are from PBE.

The structure belongs to space group Pmm2 (No. 25); the cell edges are 4.036, 4.588 and 11.071 Å and the angles 90.00°, 90.00° and 90.00°. The inequivalent atoms are Pm at (0.000, 0.000, 0.000), Pm at (0.000, 0.500, 0.263), Pm at (0.500, 0.000, 0.477), Pm at (0.500, 0.500, 0.774), Sn at (0.000, 0.000, 0.706), Pd at (0.000, 0.500, 0.539), Pd at (0.500, 0.000, 0.211) and Pd at (0.500, 0.500, 0.048).

As for the crystal system: orthorhombic. For the formation energy, the calculation gives -0.780 eV per atom. The theoretical density comes out at 8.2 Mg/m³.